1.
DFT (PBE-GGA) results for a geometry-optimized ZrIn2Fe structure.

Computed properties:
VASP energy: -5.549 eV/atom
calculated formation energy: 0.073 eV/atom
space-group type: No. 10

Cell lengths 4.475, 3.077, 6.012 Å; angles 75.18, 90.00, 90.00 degrees
Last column: magnetic moment on the atom in μB.
Element x y z (fractional)
Zr  0.500  0.250  0.250  -0.13
In  0.000  0.591  0.516  -0.03
In  0.000  0.909  0.984  -0.03
Fe  0.500  0.750  0.750  2.55

=====

2.
DFT (PBE-GGA) results for a geometry-optimized ScFeMo2 structure.

Computed properties:
VASP energy: -8.999 eV/atom
calculated formation energy: 0.115 eV/atom
space-group type: No. 47

Cell lengths 3.117, 4.309, 4.599 Å; angles 90.00, 90.00, 90.00 degrees
Element x y z (fractional)
Mo  0.500  0.500  0.000
Mo  0.000  0.000  0.000
Fe  0.000  0.500  0.500
Sc  0.500  0.000  0.500

=====

3.
DFT (PBE-GGA) results for a geometry-optimized NpTeI structure.

Computed properties:
VASP energy: -6.386 eV/atom
formation energy without anion corrections: -0.508 eV/atom
space-group type: No. 63

Cell lengths 6.863, 4.288, 7.173 Å; angles 107.39, 90.00, 90.00 degrees
Last column: magnetic moment on the atom in μB.
Element x y z (fractional)
Te  0.500  0.659  0.816  -0.12
Te  0.000  0.079  0.655  -0.12
Np  0.500  0.002  0.502  4.05
Np  0.000  0.736  0.969  4.05
I  0.750  0.369  0.236  -0.06
I  0.250  0.369  0.236  -0.06

=====

4.
DFT (PBE-GGA) results for a geometry-optimized Li2ScSb structure.

Computed properties:
VASP energy: -4.106 eV/atom
formation energy without anion corrections: -0.535 eV/atom
space-group type: No. 123

Cell lengths 4.178, 4.178, 4.621 Å; angles 90.00, 90.00, 90.00 degrees
Element x y z (fractional)
Sc  0.000  0.500  0.500
Sb  0.500  0.000  0.500
Li  0.000  0.000  0.000
Li  0.500  0.500  0.000

=====

5.
DFT (PBE-GGA) results for a geometry-optimized IrRuRh2 structure.

Computed properties:
VASP energy: -8.206 eV/atom
calculated formation energy: 0.004 eV/atom
space-group type: No. 8

Cell lengths 4.717, 4.717, 4.705 Å; angles 80.51, 80.51, 33.40 degrees
Element x y z (fractional)
Rh  0.751  0.751  0.748
Rh  0.998  0.998  0.001
Ir  0.248  0.248  0.255
Ru  0.502  0.502  0.496

=====

- Look up the VASP energy of the fourth one.
  -4.106 eV/atom

=====

- What is the VASP energy in the first record?
  -5.549 eV/atom

=====

- Look up the VASP energy of the third one.
  -6.386 eV/atom

=====

- Which of these has the lowest VASP energy?
  ScFeMo2